# 1
Below is crystalline Re2TcTe at its relaxed geometry, with properties calculated at the PBE level.

```
data_Re2TcTe
_chemical_formula_sum 'Re8 Tc4 Te4'
_cell_length_a 5.7864
_cell_length_b 5.7864
_cell_length_c 11.5455
_cell_angle_alpha 90.00
_cell_angle_beta 90.00
_cell_angle_gamma 90.00
_symmetry_space_group_name_H-M 'I -4 2 d'
_symmetry_Int_Tables_number 122
_symmetry_space_group_name_Hall 'I -4 2bw'
loop_
_atom_site_label
_atom_site_fract_x
_atom_site_fract_y
_atom_site_fract_z
Re1 0.2207 0.2500 0.1250
Tc1 0.0000 0.0000 0.0000
Te1 0.0000 0.0000 0.5000
```

Properties
E_tot	-8.347	eV/atom
E_form (uncorrected)	1253.5	meV/atom

=====

# 2
Below is crystalline LiMgTa2 at its relaxed geometry, with properties calculated at the PBE level.

```
data_LiMgTa2
_chemical_formula_sum 'Li1 Mg1 Ta2'
_cell_length_a 3.1111
_cell_length_b 4.4880
_cell_length_c 5.1705
_cell_angle_alpha 90.00
_cell_angle_beta 90.00
_cell_angle_gamma 90.00
_symmetry_space_group_name_H-M 'P m m m'
_symmetry_Int_Tables_number 47
_symmetry_space_group_name_Hall '-P 2 2'
loop_
_atom_site_label
_atom_site_fract_x
_atom_site_fract_y
_atom_site_fract_z
Li1 0.0000 0.0000 0.0000
Mg1 0.5000 0.5000 0.0000
Ta1 0.0000 0.5000 0.5000
Ta2 0.5000 0.0000 0.5000
```

Properties
E_tot	-6.489	eV/atom